VASP calculation (PBE+U) on crystalline ZnHgMo2O8 at its relaxed geometry.

**Volume**: 174 Å³/cell
**DOS at the Fermi energy**: 0.0 states/eV/f.u.
**E**: -5.84 eV per atom

```
12
Lattice="6.074 0.414 0.000 -2.323 5.628 0.000 -1.876 -3.021 4.942" Properties=species:S:1:pos:R:3 pbc="T T T"
Hg 0.000 0.000 0.000
O -0.347 1.436 3.890
O 0.435 2.695 1.052
O 0.347 -1.436 3.890
O 2.779 1.669 3.461
O 4.462 0.624 1.481
O 3.295 -1.255 3.461
O 1.613 -0.210 1.481
O 3.317 3.347 1.052
Mo 1.876 3.021 0.000
Mo 3.037 0.207 2.471
Zn -1.161 2.814 2.471
```